LuFeB2: optimized geometry, PBE-GGA.

Cell lengths 3.4452, 3.4452, 13.4988 Å; angles 90.00, 90.00, 120.00 degrees
With the nearest neighbours (Å) after each atom.
Fractional coordinates of all 12 atoms:
Lu: 0.0000 0.0000 0.0000  8 B 2.67-2.70
Lu: 0.3333 0.6667 0.6667  8 B 2.67-2.70
Lu: 0.6667 0.3333 0.3333  8 B 2.67-2.70
Fe: 0.0000 0.0000 0.5000  6 B 2.03
Fe: 0.3333 0.6667 0.1667  6 B 2.03
Fe: 0.6667 0.3333 0.8333  6 B 2.03
B: 0.0000 0.0000 0.1980  3 Fe 2.03, 3 B 2.16
B: 0.0000 0.0000 0.8020  3 Fe 2.03, 3 B 2.16
B: 0.3333 0.6667 0.4687  3 Fe 2.03, 3 B 2.16
B: 0.3333 0.6667 0.8647  3 Fe 2.03, 3 B 2.16
B: 0.6667 0.3333 0.1353  3 Fe 2.03, 3 B 2.16
B: 0.6667 0.3333 0.5313  3 Fe 2.03, 3 B 2.16

calculated total energy = -83.2 eV per cell
energy of formation from the pure elements = -0.3528 eV/atom
total magnetization = 0.000 μB per cell
calculated volume = 11.563 A^3/atom